[1]
InSn4 | GGA-PBEsol | relaxed

Values from the calculation:
- SG = Cmmm
- formation energy from the elements (eV per atom) = 0.01
- DFT total energy (eV for the cell shown) = -19.98
- DOS at the Fermi energy (states/eV per cell) = 2.53
- crystal system = orthorhombic
- M_tot (μB/cell) = 0.0
- calculated volume (Å³/cell) = 132

Structure (POSCAR):
```
InSn4
1.0
2.992 0.000 0.000
0.000 3.193 0.000
0.000 1.596 13.836
In Sn
1 4
direct
0.000 0.000 0.000
0.000 0.400 0.199
0.000 0.800 0.399
0.000 0.200 0.601
0.000 0.600 0.801
```



[2]
InSn3 | GGA-PBEsol | relaxed

Values from the calculation:
- SG = P-6m2
- formation energy from the elements (eV per atom) = 0.02
- DFT total energy (eV for the cell shown) = -15.67
- DOS at the Fermi energy (states/eV per cell) = 2.30
- crystal system = hexagonal
- M_tot (μB/cell) = 0.0
- calculated volume (Å³/cell) = 104

Structure (POSCAR):
```
InSn3
1.0
3.284 0.000 0.000
-1.642 2.844 0.000
0.000 0.000 11.098
Sn In
3 1
direct
0.333 0.667 0.500
0.667 0.333 0.749
0.667 0.333 0.251
0.333 0.667 0.000
```



[3]
InSn3 | GGA-PBEsol | relaxed

Values from the calculation:
- SG = P6_3/mmc
- formation energy from the elements (eV per atom) = 0.02
- DFT total energy (eV for the cell shown) = -31.37
- DOS at the Fermi energy (states/eV per cell) = 4.00
- crystal system = hexagonal
- M_tot (μB/cell) = 0.0
- calculated volume (Å³/cell) = 207

Structure (POSCAR):
```
InSn3
1.0
5.458 0.000 0.000
0.000 6.617 0.000
0.000 -3.308 5.730
Sn In
6 2
direct
0.750 0.334 0.167
0.750 0.833 0.666
0.750 0.833 0.167
0.250 0.666 0.833
0.250 0.167 0.334
0.250 0.167 0.833
0.250 0.667 0.333
0.750 0.333 0.667
```



[4]
InSn3 | GGA-PBEsol | relaxed

Values from the calculation:
- SG = Pm-3m
- formation energy from the elements (eV per atom) = 0.02
- DFT total energy (eV for the cell shown) = -15.68
- DOS at the Fermi energy (states/eV per cell) = 2.07
- crystal system = cubic
- M_tot (μB/cell) = 0.0
- calculated volume (Å³/cell) = 104

Structure (POSCAR):
```
InSn3
1.0
4.704 0.000 0.000
0.000 4.704 0.000
0.000 0.000 4.704
Sn In
3 1
direct
0.500 0.000 0.500
0.000 0.500 0.500
0.500 0.500 0.000
0.000 0.000 0.000
```



[5]
SrIn2Sn2 | GGA-PBEsol | relaxed

Values from the calculation:
- SG = I4/mmm
- formation energy from the elements (eV per atom) = -0.26
- DFT total energy (eV for the cell shown) = -17.65
- DOS at the Fermi energy (states/eV per cell) = 2.53
- crystal system = tetragonal
- M_tot (μB/cell) = 0.0
- calculated volume (Å³/cell) = 148

Structure (POSCAR):
```
SrIn2Sn2
1.0
4.635 0.000 0.000
0.000 4.635 0.000
-2.318 -2.318 6.888
Sr Sn In
1 2 2
direct
0.000 0.000 0.000
0.393 0.393 0.786
0.607 0.607 0.214
0.250 0.750 0.500
0.750 0.250 0.500
```



[6]
Sr2InSn | GGA-PBEsol | relaxed

Values from the calculation:
- SG = Fm-3m
- formation energy from the elements (eV per atom) = -0.54
- DFT total energy (eV for the cell shown) = -13.08
- DOS at the Fermi energy (states/eV per cell) = 2.63
- crystal system = cubic
- M_tot (μB/cell) = 0.0
- calculated volume (Å³/cell) = 126

Structure (POSCAR):
```
Sr2InSn
1.0
5.631 0.000 0.000
2.816 4.877 0.000
2.816 1.626 4.598
Sr Sn In
2 1 1
direct
0.250 0.250 0.250
0.750 0.750 0.750
0.500 0.500 0.500
0.000 0.000 0.000
```



[7]
Tb2In3Sn3 | GGA-PBEsol | relaxed

Values from the calculation:
- SG = Pmmm
- formation energy from the elements (eV per atom) = -0.51
- DFT total energy (eV for the cell shown) = -35.82
- DOS at the Fermi energy (states/eV per cell) = 3.30
- crystal system = orthorhombic
- M_tot (μB/cell) = 0.0
- calculated volume (Å³/cell) = 194

Structure (POSCAR):
```
Tb2In3Sn3
1.0
4.570 0.000 0.000
0.000 4.701 0.000
0.000 0.000 9.029
Tb In Sn
2 3 3
direct
0.000 0.000 0.247
0.000 0.000 0.753
0.500 0.500 0.253
0.500 0.500 0.747
0.000 0.500 0.500
0.000 0.500 0.000
0.500 0.000 0.500
0.500 0.000 0.000
```



[8]
InTcSn3 | GGA-PBEsol | relaxed

Values from the calculation:
- SG = Pm-3m
- formation energy from the elements (eV per atom) = 1.54
- DFT total energy (eV for the cell shown) = -19.35
- DOS at the Fermi energy (states/eV per cell) = 4.39
- crystal system = cubic
- M_tot (μB/cell) = 3.8
- calculated volume (Å³/cell) = 157

Structure (POSCAR):
```
InTcSn3
1.0
-0.527 5.317 0.767
0.541 -0.714 5.323
5.345 0.597 -0.464
Tc Sn In
1 3 1
direct
0.500 0.500 0.500
0.000 0.500 0.000
0.000 0.000 0.500
0.500 0.000 0.000
0.000 0.000 0.000
```



[9]
InSn2Te3 | GGA-PBEsol | relaxed

Values from the calculation:
- SG = P-3m1
- E_form (uncorrected) (eV per atom) = -0.2668
- DFT total energy (eV for the cell shown) = -23.68
- DOS at the Fermi energy (states/eV per cell) = 2.47
- crystal system = trigonal
- M_tot (μB/cell) = 0.0
- calculated volume (Å³/cell) = 182

Structure (POSCAR):
```
InSn2Te3
1.0
4.411 0.000 0.000
-2.206 3.820 0.000
0.000 0.000 10.780
Te Sn In
3 2 1
direct
0.667 0.333 0.835
0.333 0.667 0.165
0.000 0.000 0.500
0.667 0.333 0.331
0.333 0.667 0.669
0.000 0.000 0.000
```



[10]
InSnTe3 | GGA-PBEsol | relaxed

Values from the calculation:
- SG = Pm-3m
- E_form (uncorrected) (eV per atom) = 0.3556
- DFT total energy (eV for the cell shown) = -16.04
- DOS at the Fermi energy (states/eV per cell) = 2.99
- crystal system = cubic
- M_tot (μB/cell) = 0.0
- calculated volume (Å³/cell) = 171

Structure (POSCAR):
```
InSnTe3
1.0
5.555 0.000 0.000
0.000 5.555 0.000
0.000 0.000 5.555
Te Sn In
3 1 1
direct
0.000 0.500 0.000
0.000 0.000 0.500
0.500 0.000 0.000
0.500 0.500 0.500
0.000 0.000 0.000
```



[11]
Th2In3Sn3 | GGA-PBEsol | relaxed

Values from the calculation:
- SG = Pmmm
- formation energy from the elements (eV per atom) = -0.46
- DFT total energy (eV for the cell shown) = -41.66
- DOS at the Fermi energy (states/eV per cell) = 4.39
- crystal system = orthorhombic
- M_tot (μB/cell) = 0.0
- calculated volume (Å³/cell) = 204

Structure (POSCAR):
```
Th2In3Sn3
1.0
4.670 0.000 0.000
0.000 4.738 0.000
0.000 0.000 9.231
Th In Sn
2 3 3
direct
0.000 0.000 0.247
0.000 0.000 0.753
0.500 0.500 0.255
0.500 0.500 0.745
0.000 0.500 0.500
0.000 0.500 0.000
0.500 0.000 0.500
0.500 0.000 0.000
```



[12]
TlInSn2 | GGA-PBEsol | relaxed

Values from the calculation:
- SG = Fm-3m
- ΔE to the lowest computed polymorph (meV/atom) = 0
- formation energy from the elements (eV per atom) = 0.05
- DFT total energy (eV for the cell shown) = -13.93
- DOS at the Fermi energy (states/eV per cell) = 2.49
- crystal system = cubic
- M_tot (μB/cell) = 0.0
- calculated volume (Å³/cell) = 106

Structure (POSCAR):
```
TlInSn2
1.0
-3.268 0.571 -4.139
-2.093 -4.278 -2.337
-5.171 -1.054 0.539
Tl Sn In
1 2 1
direct
0.500 0.500 0.500
0.250 0.250 0.250
0.750 0.750 0.750
0.000 0.000 0.000
```